# EuIn8Ir2 (PBEsol, optimized geometry)
data_EuIn8Ir2
_cell_length_a 13.768
_cell_length_b 16.136
_cell_length_c 4.332
_cell_angle_alpha 90.00
_cell_angle_beta 90.00
_cell_angle_gamma 90.00
_space_group_name_H-M_alt 'P 1'
_space_group_IT_number 1
loop_
_space_group_symop_operation_xyz
'x,y,z'
loop_
_atom_site_label
_atom_site_fract_x
_atom_site_fract_y
_atom_site_fract_z
Eu1 0.155 0.181 0.000
Eu2 0.345 0.681 0.000
Eu3 0.655 0.319 0.000
Eu4 0.845 0.819 0.000
In1 0.000 0.000 0.000
In2 0.000 0.500 0.500
In3 0.019 0.866 0.500
In4 0.050 0.315 0.500
In5 0.103 0.748 0.000
In6 0.159 0.456 0.000
In7 0.169 0.013 0.500
In8 0.169 0.624 0.500
In9 0.242 0.822 0.500
In10 0.258 0.322 0.500
In11 0.331 0.124 0.500
In12 0.331 0.513 0.500
In13 0.341 0.956 0.000
In14 0.397 0.248 0.000
In15 0.450 0.815 0.500
In16 0.481 0.366 0.500
In17 0.500 0.000 0.500
In18 0.500 0.500 0.000
In19 0.519 0.634 0.500
In20 0.550 0.185 0.500
In21 0.603 0.752 0.000
In22 0.659 0.044 0.000
In23 0.669 0.487 0.500
In24 0.669 0.876 0.500
In25 0.742 0.678 0.500
In26 0.758 0.178 0.500
In27 0.831 0.376 0.500
In28 0.831 0.987 0.500
In29 0.841 0.544 0.000
In30 0.897 0.252 0.000
In31 0.950 0.685 0.500
In32 0.981 0.134 0.500
Ir1 0.035 0.597 0.000
Ir2 0.155 0.905 0.000
Ir3 0.345 0.405 0.000
Ir4 0.465 0.097 0.000
Ir5 0.535 0.903 0.000
Ir6 0.655 0.595 0.000
Ir7 0.845 0.095 0.000
Ir8 0.965 0.403 0.000
# formation energy = -0.305 eV/atom
# electronic total energy = -229.71 eV per cell